[1]
# TlVIr2Au, relaxed, DFT PBE
data_TlVIr2Au
_chemical_formula_sum 'Tl1 V1 Ir2 Au1'
_cell_length_a 4.950
_cell_length_b 4.950
_cell_length_c 4.986
_cell_angle_alpha 90.00
_cell_angle_beta 90.00
_cell_angle_gamma 90.00
_symmetry_space_group_name_H-M 'P 1'
_symmetry_Int_Tables_number 1
loop_
_symmetry_equiv_pos_as_xyz
'x,y,z'
loop_
_atom_site_label
_atom_site_fract_x
_atom_site_fract_y
_atom_site_fract_z
Tl1 0.000 0.000 0.000
V1 0.000 0.000 0.500
Ir1 0.000 0.500 0.000
Ir2 0.500 0.000 0.000
Au1 0.500 0.500 0.500
# Formation energy from the elements: 2.111 eV per atom
# Magnetization: 2.963 μB/f.u.
# Space group: P4/mmm, No. 123
# E: -4.39 eV per atom


[2]
# Tm4IrAu3, relaxed, DFT PBE
data_Tm4IrAu3
_chemical_formula_sum 'Tm4 Ir1 Au3'
_cell_length_a 3.506
_cell_length_b 3.506
_cell_length_c 14.094
_cell_angle_alpha 90.00
_cell_angle_beta 90.00
_cell_angle_gamma 90.00
_symmetry_space_group_name_H-M 'P 1'
_symmetry_Int_Tables_number 1
loop_
_symmetry_equiv_pos_as_xyz
'x,y,z'
loop_
_atom_site_label
_atom_site_fract_x
_atom_site_fract_y
_atom_site_fract_z
Tm1 0.000 0.000 0.114
Tm2 0.000 0.000 0.371
Tm3 0.000 0.000 0.629
Tm4 0.000 0.000 0.886
Ir1 0.500 0.500 0.000
Au1 0.500 0.500 0.247
Au2 0.500 0.500 0.500
Au3 0.500 0.500 0.753
# Formation energy from the elements: -0.897 eV per atom
# Magnetization: 0.000 μB/f.u.
# Space group: P4/mmm, No. 123
# E: -5.47 eV per atom


[3]
# Tm8Ir2Au, relaxed, DFT PBE
data_Tm8Ir2Au
_chemical_formula_sum 'Tm8 Ir2 Au1'
_cell_length_a 7.632
_cell_length_b 7.632
_cell_length_c 5.545
_cell_angle_alpha 98.76
_cell_angle_beta 98.76
_cell_angle_gamma 112.50
_symmetry_space_group_name_H-M 'P 1'
_symmetry_Int_Tables_number 1
loop_
_symmetry_equiv_pos_as_xyz
'x,y,z'
loop_
_atom_site_label
_atom_site_fract_x
_atom_site_fract_y
_atom_site_fract_z
Tm1 0.000 0.000 0.000
Tm2 0.044 0.305 0.598
Tm3 0.141 0.610 0.192
Tm4 0.305 0.044 0.598
Tm5 0.447 0.709 0.780
Tm6 0.610 0.141 0.192
Tm7 0.709 0.447 0.780
Tm8 0.744 0.744 0.381
Ir1 0.065 0.687 0.690
Ir2 0.687 0.065 0.690
Au1 0.372 0.372 0.287
# Formation energy from the elements: -0.511 eV per atom
# Magnetization: 0.000 μB/f.u.
# Space group: Cm, No. 8
# E: -5.67 eV per atom
# Energy above the lowest structure with this stoichiometry: 58 meV per atom


[4]
# Tm8IrAu2, relaxed, DFT PBE
data_Tm8IrAu2
_chemical_formula_sum 'Tm8 Ir1 Au2'
_cell_length_a 8.996
_cell_length_b 8.996
_cell_length_c 6.709
_cell_angle_alpha 106.13
_cell_angle_beta 106.13
_cell_angle_gamma 32.58
_symmetry_space_group_name_H-M 'P 1'
_symmetry_Int_Tables_number 1
loop_
_symmetry_equiv_pos_as_xyz
'x,y,z'
loop_
_atom_site_label
_atom_site_fract_x
_atom_site_fract_y
_atom_site_fract_z
Tm1 0.029 0.029 0.291
Tm2 0.203 0.203 0.813
Tm3 0.339 0.339 0.532
Tm4 0.410 0.410 0.065
Tm5 0.590 0.590 0.935
Tm6 0.661 0.661 0.468
Tm7 0.797 0.797 0.187
Tm8 0.971 0.971 0.709
Ir1 0.500 0.500 0.500
Au1 0.185 0.185 0.220
Au2 0.815 0.815 0.780
# Formation energy from the elements: -0.547 eV per atom
# Magnetization: 0.000 μB/f.u.
# Space group: C2/m, No. 12
# E: -5.20 eV per atom
# Energy above the lowest structure with this stoichiometry: 0 meV per atom